[1]
# GGA-PBE Ca5Ge2As, optimized geometry
data_Ca5Ge2As
_chemical_formula_sum 'Ca20 Ge8 As4'
_symmetry_space_group_name_H-M 'I 4/m c m'
_symmetry_Int_Tables_number 140
_symmetry_space_group_name_Hall '-I 4 2c'
_cell_length_a 7.720
_cell_length_b 7.720
_cell_length_c 14.490
_cell_angle_alpha 90.00
_cell_angle_beta 90.00
_cell_angle_gamma 90.00
loop_
_atom_site_label
_atom_site_fract_x
_atom_site_fract_y
_atom_site_fract_z
Ca1 0.000 0.000 0.000
Ca2 0.171 0.329 0.144
Ge1 0.121 0.379 0.500
As1 0.000 0.000 0.250
# - DOS at the Fermi energy: 1.55 states/eV/f.u.
# - VASP energy: -3.760 eV/atom
# - ΔH_f (0 K): -773 meV per atom

[2]
# GGA-PBE AlBiSbI2, optimized geometry
data_AlBiSbI2
_chemical_formula_sum 'Al1 Bi1 Sb1 I2'
_symmetry_space_group_name_H-M 'P 4/m m m'
_symmetry_Int_Tables_number 123
_symmetry_space_group_name_Hall '-P 4 2'
_cell_length_a 5.380
_cell_length_b 5.380
_cell_length_c 5.703
_cell_angle_alpha 90.00
_cell_angle_beta 90.00
_cell_angle_gamma 90.00
loop_
_atom_site_label
_atom_site_fract_x
_atom_site_fract_y
_atom_site_fract_z
Al1 0.000 0.000 0.000
Bi1 0.500 0.500 0.500
Sb1 0.000 0.000 0.500
I1 0.000 0.500 0.000
# - Uncorrected formation energy: 0.245 eV per atom
# - DOS at the Fermi energy: 3.58 states/eV/f.u.
# - VASP energy: -2.725 eV/atom
# - ΔE to the lowest computed polymorph: 0 meV per atom

[3]
# GGA-PBE Y2CdAs, optimized geometry
data_Y2CdAs
_chemical_formula_sum 'Y2 Cd1 As1'
_symmetry_space_group_name_H-M 'P 1 2/m 1'
_symmetry_Int_Tables_number 10
_cell_length_a 4.222
_cell_length_b 4.280
_cell_length_c 6.032
_cell_angle_alpha 90.00
_cell_angle_beta 100.61
_cell_angle_gamma 90.00
loop_
_symmetry_equiv_pos_as_xyz
'x,y,z'
'-x,-y,-z'
'-x,y,-z'
'x,-y,z'
loop_
_atom_site_label
_atom_site_fract_x
_atom_site_fract_y
_atom_site_fract_z
Y1 0.000 0.000 0.000
Y2 0.500 0.500 0.500
Cd1 0.000 0.000 0.500
As1 0.500 0.500 0.000
# - DOS at the Fermi energy: 2.54 states/eV/f.u.
# - VASP energy: -5.289 eV/atom
# - ΔE to the lowest computed polymorph: 178 meV per atom
# - ΔH_f (0 K): -666 meV per atom